VASP calculation (PBE) on crystalline HfAs2 at its relaxed geometry. Values from VASP.

Calculated values
* crystal system: tetragonal
* space-group type: I4/mcm, No. 140
* spin magnetization: 0.00 μB per formula unit
* DFT total energy: -7.131 eV per atom

Cell and atoms, written as Quantum ESPRESSO input:
```
&SYSTEM
  ibrav = 0, nat = 6, ntyp = 2
/
ATOMIC_SPECIES
Hf 178.49 Hf.upf
As 74.92 As.upf
ATOMIC_POSITIONS crystal
Hf 0.250 0.250 0.000
Hf 0.750 0.750 0.000
As 0.145 0.645 0.790
As 0.355 0.145 0.500
As 0.645 0.855 0.500
As 0.855 0.355 0.210
CELL_PARAMETERS angstrom
-2.959 2.959 3.342
2.959 -2.959 3.342
2.959 2.959 -3.342
```



VASP calculation (PBE) on crystalline HoInCuTe3 at its relaxed geometry. Values from VASP.

Calculated values
* crystal system: orthorhombic
* space-group type: Cmcm, No. 63
* spin magnetization: 0.00 μB per formula unit
* DFT total energy: -4.064 eV per atom

Cell and atoms, written as Quantum ESPRESSO input:
```
&SYSTEM
  ibrav = 0, nat = 12, ntyp = 4
/
ATOMIC_SPECIES
Ho 164.93 Ho.upf
In 114.82 In.upf
Cu 63.55 Cu.upf
Te 127.60 Te.upf
ATOMIC_POSITIONS crystal
Ho 0.000 0.000 0.000
Ho 0.000 0.000 0.500
In 0.243 0.757 0.750
In 0.757 0.243 0.250
Cu 0.470 0.530 0.250
Cu 0.530 0.470 0.750
Te 0.082 0.918 0.250
Te 0.359 0.641 0.067
Te 0.359 0.641 0.433
Te 0.641 0.359 0.567
Te 0.641 0.359 0.933
Te 0.918 0.082 0.750
CELL_PARAMETERS angstrom
2.068 -7.453 0.000
2.068 7.453 0.000
0.000 0.000 11.234
```



VASP calculation (PBE) on crystalline Sr2In4FeIr at its relaxed geometry. Values from VASP.

Calculated values
* crystal system: orthorhombic
* space-group type: Amm2, No. 38
* spin magnetization: 2.20 μB per formula unit
* DFT total energy: -4.160 eV per atom

Cell and atoms, written as Quantum ESPRESSO input:
```
&SYSTEM
  ibrav = 0, nat = 8, ntyp = 4
/
ATOMIC_SPECIES
Sr 87.62 Sr.upf
In 114.82 In.upf
Fe 55.84 Fe.upf
Ir 192.22 Ir.upf
ATOMIC_POSITIONS crystal
Sr 0.000 0.000 0.000
Sr 0.500 0.118 0.118
In 0.194 0.712 0.712
In 0.303 0.402 0.402
In 0.697 0.402 0.402
In 0.806 0.712 0.712
Fe 0.000 0.275 0.275
Ir 0.500 0.838 0.838
CELL_PARAMETERS angstrom
7.967 0.000 0.000
0.000 2.200 5.645
0.000 -2.200 5.645
```



VASP calculation (PBE) on crystalline CsSmCoTe3 at its relaxed geometry. Values from VASP.

Calculated values
* crystal system: orthorhombic
* space-group type: Pnma, No. 62
* spin magnetization: 1.67 μB per formula unit
* DFT total energy: -4.467 eV per atom

Cell and atoms, written as Quantum ESPRESSO input:
```
&SYSTEM
  ibrav = 0, nat = 24, ntyp = 4
/
ATOMIC_SPECIES
Cs 132.91 Cs.upf
Sm 150.36 Sm.upf
Co 58.93 Co.upf
Te 127.60 Te.upf
ATOMIC_POSITIONS crystal
Cs 0.162 0.250 0.002
Cs 0.338 0.750 0.502
Cs 0.662 0.250 0.498
Cs 0.838 0.750 0.998
Sm 0.019 0.250 0.661
Sm 0.481 0.750 0.161
Sm 0.519 0.250 0.839
Sm 0.981 0.750 0.339
Co 0.230 0.250 0.292
Co 0.270 0.750 0.792
Co 0.730 0.250 0.208
Co 0.770 0.750 0.708
Te 0.063 0.750 0.807
Te 0.111 0.250 0.444
Te 0.211 0.750 0.219
Te 0.289 0.250 0.719
Te 0.389 0.750 0.944
Te 0.437 0.250 0.307
Te 0.563 0.750 0.693
Te 0.611 0.250 0.056
Te 0.711 0.750 0.281
Te 0.789 0.250 0.781
Te 0.889 0.750 0.556
Te 0.937 0.250 0.193
CELL_PARAMETERS angstrom
12.263 0.000 0.000
0.000 4.624 0.000
0.000 0.000 14.057
```



VASP calculation (PBE) on crystalline SmDy2Tl3Ni3 at its relaxed geometry. Values from VASP.

Calculated values
* crystal system: orthorhombic
* space-group type: Amm2, No. 38
* spin magnetization: 0.02 μB per formula unit
* DFT total energy: -4.537 eV per atom

Cell and atoms, written as Quantum ESPRESSO input:
```
&SYSTEM
  ibrav = 0, nat = 9, ntyp = 4
/
ATOMIC_SPECIES
Sm 150.36 Sm.upf
Dy 162.50 Dy.upf
Tl 204.38 Tl.upf
Ni 58.69 Ni.upf
ATOMIC_POSITIONS crystal
Sm 0.000 0.000 0.000
Dy 0.000 0.184 0.591
Dy 0.000 0.591 0.184
Tl 0.500 0.333 0.333
Tl 0.500 0.589 0.852
Tl 0.500 0.852 0.589
Ni 0.000 0.591 0.591
Ni 0.500 0.260 0.924
Ni 0.500 0.924 0.260
CELL_PARAMETERS angstrom
3.787 0.000 0.000
0.000 6.577 3.796
0.000 -6.577 3.796
```



VASP calculation (PBE) on crystalline GdDyTeC at its relaxed geometry. Values from VASP.

Calculated values
* crystal system: trigonal
* space-group type: P-3m1, No. 164
* spin magnetization: 0.00 μB per formula unit
* DFT total energy: -6.263 eV per atom

Cell and atoms, written as Quantum ESPRESSO input:
```
&SYSTEM
  ibrav = 0, nat = 8, ntyp = 4
/
ATOMIC_SPECIES
Gd 157.25 Gd.upf
Dy 162.50 Dy.upf
Te 127.60 Te.upf
C 12.01 C.upf
ATOMIC_POSITIONS crystal
Gd 0.333 0.667 0.405
Gd 0.667 0.333 0.595
Dy 0.333 0.667 0.093
Dy 0.667 0.333 0.907
Te 0.333 0.667 0.753
Te 0.667 0.333 0.247
C 0.000 0.000 0.000
C 0.000 0.000 0.500
CELL_PARAMETERS angstrom
3.856 0.000 0.000
-1.928 3.339 0.000
0.000 0.000 14.123
```



VASP calculation (PBE) on crystalline YBiPt at its relaxed geometry. Values from VASP.

Calculated values
* crystal system: hexagonal
* space-group type: P-62m, No. 189
* spin magnetization: 0.00 μB per formula unit
* DFT total energy: -6.388 eV per atom

Cell and atoms, written as Quantum ESPRESSO input:
```
&SYSTEM
  ibrav = 0, nat = 9, ntyp = 3
/
ATOMIC_SPECIES
Y 88.91 Y.upf
Bi 208.98 Bi.upf
Pt 195.08 Pt.upf
ATOMIC_POSITIONS crystal
Y 0.000 0.605 0.000
Y 0.395 0.395 0.000
Y 0.605 0.000 0.000
Bi 0.000 0.269 0.500
Bi 0.269 0.000 0.500
Bi 0.731 0.731 0.500
Pt 0.000 0.000 0.000
Pt 0.333 0.667 0.500
Pt 0.667 0.333 0.500
CELL_PARAMETERS angstrom
7.672 0.000 0.000
-3.836 6.645 0.000
0.000 0.000 4.190
```



VASP calculation (PBE) on crystalline GdGa2Co at its relaxed geometry. Values from VASP.

Calculated values
* crystal system: orthorhombic
* space-group type: Cmmm, No. 65
* spin magnetization: 0.01 μB per formula unit
* DFT total energy: -4.996 eV per atom

Cell and atoms, written as Quantum ESPRESSO input:
```
&SYSTEM
  ibrav = 0, nat = 8, ntyp = 3
/
ATOMIC_SPECIES
Gd 157.25 Gd.upf
Ga 69.72 Ga.upf
Co 58.93 Co.upf
ATOMIC_POSITIONS crystal
Gd 0.142 0.858 0.000
Gd 0.858 0.142 0.000
Ga 0.000 0.000 0.500
Ga 0.292 0.708 0.500
Ga 0.500 0.500 0.000
Ga 0.708 0.292 0.500
Co 0.426 0.574 0.500
Co 0.574 0.426 0.500
CELL_PARAMETERS angstrom
2.052 -8.910 0.000
2.052 8.910 0.000
0.000 0.000 3.990
```



VASP calculation (PBE) on crystalline Zr4Sc2Cu3N3 at its relaxed geometry. Values from VASP.

Calculated values
* crystal system: monoclinic
* space-group type: C2/c, No. 15
* spin magnetization: 0.01 μB per formula unit
* DFT total energy: -7.760 eV per atom

Cell and atoms, written as Quantum ESPRESSO input:
```
&SYSTEM
  ibrav = 0, nat = 24, ntyp = 4
/
ATOMIC_SPECIES
Zr 91.22 Zr.upf
Sc 44.96 Sc.upf
Cu 63.55 Cu.upf
N 14.01 N.upf
ATOMIC_POSITIONS crystal
Zr 0.025 0.200 0.087
Zr 0.140 0.305 0.413
Zr 0.200 0.025 0.587
Zr 0.305 0.140 0.913
Zr 0.695 0.860 0.087
Zr 0.800 0.975 0.413
Zr 0.860 0.695 0.587
Zr 0.975 0.800 0.913
Sc 0.373 0.535 0.104
Sc 0.465 0.627 0.396
Sc 0.535 0.373 0.604
Sc 0.627 0.465 0.896
Cu 0.069 0.931 0.750
Cu 0.108 0.416 0.750
Cu 0.416 0.108 0.250
Cu 0.584 0.892 0.750
Cu 0.892 0.584 0.250
Cu 0.931 0.069 0.250
N 0.000 0.500 0.000
N 0.176 0.662 0.500
N 0.338 0.824 0.000
N 0.500 0.000 0.500
N 0.662 0.176 0.000
N 0.824 0.338 0.500
CELL_PARAMETERS angstrom
4.852 -2.801 0.000
4.852 2.801 0.000
-3.300 0.000 13.843
```



VASP calculation (PBE) on crystalline HfGaTc at its relaxed geometry. Values from VASP.

Calculated values
* crystal system: cubic
* space-group type: F-43m, No. 216
* spin magnetization: 0.00 μB per formula unit
* DFT total energy: -7.233 eV per atom

Cell and atoms, written as Quantum ESPRESSO input:
```
&SYSTEM
  ibrav = 0, nat = 3, ntyp = 3
/
ATOMIC_SPECIES
Hf 178.49 Hf.upf
Ga 69.72 Ga.upf
Tc 98.00 Tc.upf
ATOMIC_POSITIONS crystal
Hf 0.000 0.000 0.000
Ga 0.750 0.750 0.750
Tc 0.250 0.250 0.250
CELL_PARAMETERS angstrom
0.000 3.134 3.134
3.134 0.000 3.134
3.134 3.134 0.000
```



Look up the DFT total energy of the fourth one.
-4.467 eV per atom



Which value of DFT total energy does entry 10 give?
-7.233 eV per atom



Among the records above, which one has the lowest DFT total energy?
Zr4Sc2Cu3N3



DFT total energy of number 5 (SmDy2Tl3Ni3)?
-4.537 eV per atom